{"formula": "AcSmAg4", "functional": "GGA-PBE", "state": "relaxed", "cell": [[4.600, -1.320, 0.741], [-1.358, 4.586, 0.758], [1.614, 1.602, 8.622]], "species": ["Ag", "Ag", "Ag", "Ag", "Ac", "Sm"], "fractional_positions": [[0.449, 0.112, 0.717], [0.116, 0.445, 0.717], [0.554, 0.883, 0.279], [0.887, 0.550, 0.279], [0.501, 0.497, 0.998], [0.001, 0.997, 0.498]], "e_tot_ha_per_atom": -0.134, "relative_energy_ev_per_fu": 0.00, "magmom_total_mub_per_atom": 0.00, "ef_ev_per_atom": -0.28}


{"formula": "Dy4Cd2Ga", "functional": "GGA-PBE", "state": "relaxed", "cell": [[4.929, 0.000, 1.540], [2.224, 4.399, 1.540], [-0.078, -0.048, 8.909]], "species": ["Dy", "Dy", "Dy", "Dy", "Ga", "Cd", "Cd"], "fractional_positions": [[0.875, 0.875, 0.375], [0.125, 0.125, 0.625], [0.376, 0.376, 0.871], [0.624, 0.624, 0.129], [0.000, 0.000, 0.000], [0.250, 0.250, 0.249], [0.750, 0.750, 0.751]], "e_tot_ha_per_atom": -0.130, "magmom_total_mub_per_atom": 0.00, "ef_ev_per_atom": -0.21}


{"formula": "Mn2AgCl", "functional": "GGA-PBE", "state": "relaxed", "cell": [[-0.959, 4.702, -0.240], [-3.087, 3.205, -1.813], [-5.680, 3.773, 4.094]], "species": ["Ag", "Mn", "Mn", "Cl"], "fractional_positions": [[0.250, 0.250, 0.250], [0.070, 0.070, 0.074], [0.430, 0.430, 0.426], [0.750, 0.750, 0.750]], "formation_energy_uncorrected_ev_per_fu": 0.60, "e_tot_ha_per_atom": -0.206, "relative_energy_ev_per_fu": 0.17, "magmom_total_mub_per_atom": 2.03}


{"formula": "PuTlCu2O6", "functional": "GGA-PBE", "state": "relaxed", "cell": [[-5.468, -3.572, -1.407], [1.879, -6.655, 2.079], [-3.844, 0.525, 6.090]], "species": ["Cu", "Cu", "Cu", "Cu", "O", "O", "O", "O", "O", "O", "O", "O", "O", "O", "O", "O", "Tl", "Tl", "Pu", "Pu"], "fractional_positions": [[0.382, 0.760, 0.631], [0.118, 0.369, 0.240], [0.618, 0.240, 0.369], [0.882, 0.631, 0.760], [0.255, 0.015, 0.719], [0.187, 0.603, 0.719], [0.447, 0.732, 0.348], [0.313, 0.281, 0.397], [0.813, 0.397, 0.281], [0.245, 0.281, 0.985], [0.053, 0.652, 0.268], [0.745, 0.985, 0.281], [0.687, 0.719, 0.603], [0.553, 0.268, 0.652], [0.947, 0.348, 0.732], [0.755, 0.719, 0.015], [0.750, 0.095, 0.905], [0.250, 0.905, 0.095], [0.750, 0.703, 0.297], [0.250, 0.297, 0.703]], "formation_energy_uncorrected_ev_per_fu": -12.51, "e_tot_ha_per_atom": -0.247, "magmom_total_mub_per_atom": 0.10}